Density functional theory data (PBE) for a relaxed structure of NaHoCdTe3.

Lattice parameters (Å, degrees): 19.527 4.351 9.377 90.00 103.85 90.00
Space group C2/m (No. 12)
Unique sites:
Na  0.129  0.000  0.075 [4 per cell]
Ho  0.178  0.000  0.592 [4 per cell]
Cd  0.031  0.500  0.723 [4 per cell]
Te  0.000  0.000  0.500 [2 per cell]
Te  0.000  0.500  0.000 [2 per cell]
Te  0.164  0.500  0.359 [4 per cell]
Te  0.181  0.500  0.824 [4 per cell]

Computed properties:
The calculation puts the magnetization at 0.001 μB per atom. The value obtained for the total energy is -3.594 eV/atom. For the energy above the lowest structure with this stoichiometry, the calculation gives 66 meV per atom.

Density functional theory data (PBE) for a relaxed structure of TaTeS3I.

Lattice parameters (Å, degrees): 6.415 7.328 8.465 76.81 67.95 82.15
Space group P-1 (No. 2)
Unique sites:
Ta  0.249  0.000  0.499 [2 per cell]
Te  0.446  0.704  0.700 [2 per cell]
S  0.006  0.728  0.576 [2 per cell]
S  0.112  0.083  0.245 [2 per cell]
S  0.401  0.188  0.639 [2 per cell]
I  0.242  0.726  0.071 [2 per cell]

Computed properties:
The calculation puts the magnetization at 0.000 μB per atom. The value obtained for the total energy is -5.278 eV/atom. For the energy above the lowest structure with this stoichiometry, the calculation gives 34 meV per atom.

Density functional theory data (PBE) for a relaxed structure of MgCuNiGe.

Lattice parameters (Å, degrees): 5.997 5.997 5.997 90.00 90.00 90.00
Space group F-43m (No. 216)
Unique sites:
Mg  0.000  0.000  0.000 [4 per cell]
Cu  0.250  0.250  0.750 [4 per cell]
Ni  0.250  0.250  0.250 [4 per cell]
Ge  0.000  0.000  0.500 [4 per cell]

Computed properties:
The calculation puts the magnetization at 0.001 μB per atom. The value obtained for the total energy is -4.041 eV/atom. For the energy above the lowest structure with this stoichiometry, the calculation gives 0 meV per atom.

Density functional theory data (PBE) for a relaxed structure of TaTc2As2.

Lattice parameters (Å, degrees): 4.095 4.095 10.365 90.00 90.00 90.00
Space group I4/mmm (No. 139)
Unique sites:
Ta  0.000  0.000  0.000 [2 per cell]
Tc  0.000  0.000  0.386 [4 per cell]
As  0.000  0.500  0.250 [4 per cell]

Computed properties:
The calculation puts the magnetization at 0.081 μB per atom. The value obtained for the total energy is -7.898 eV/atom. For the energy above the lowest structure with this stoichiometry, the calculation gives 293 meV per atom.

Density functional theory data (PBE) for a relaxed structure of MgIn2Cu5.

Lattice parameters (Å, degrees): 4.392 4.392 6.211 90.00 90.00 90.00
Space group P4/mmm (No. 123)
Unique sites:
Mg  0.000  0.000  0.000 [1 per cell]
In  0.000  0.000  0.500 [1 per cell]
In  0.500  0.500  0.000 [1 per cell]
Cu  0.000  0.500  0.261 [4 per cell]
Cu  0.500  0.500  0.500 [1 per cell]

Computed properties:
The value obtained for the total energy is -3.213 eV/atom.

Density functional theory data (PBE) for a relaxed structure of Tb2HoGa3FeGe2.

Lattice parameters (Å, degrees): 4.151 12.058 6.978 90.00 90.00 90.00
Space group Amm2 (No. 38)
Unique sites:
Tb  0.000  0.200  0.000 [4 per cell]
Ho  0.000  0.000  0.599 [2 per cell]
Ga  0.500  0.000  0.973 [2 per cell]
Ga  0.500  0.113  0.314 [4 per cell]
Fe  0.000  0.000  0.201 [2 per cell]
Ge  0.500  0.166  0.700 [4 per cell]

Computed properties:
The calculation puts the magnetization at 0.000 μB per atom. The value obtained for the total energy is -5.141 eV/atom.

Density functional theory data (PBE) for a relaxed structure of ReBr2O2.

Lattice parameters (Å, degrees): 15.388 3.768 7.533 90.00 104.07 90.00
Space group Cc (No. 9)
Unique sites:
Re  0.000  0.003  0.000 [4 per cell]
Br  0.167  0.001  0.080 [4 per cell]
Br  0.333  0.499  0.414 [4 per cell]
O  0.000  0.000  0.250 [4 per cell]
O  0.000  0.498  0.500 [4 per cell]

Computed properties:
The calculation puts the magnetization at 0.077 μB per atom. The value obtained for the total energy is -6.102 eV/atom.

Density functional theory data (PBE) for a relaxed structure of SrAu2F8.

Lattice parameters (Å, degrees): 5.306 5.315 6.505 66.00 66.17 89.99
Space group P1 (No. 1)
Unique sites:
Sr  0.000  0.000  0.000 [1 per cell]
Au  0.248  0.752  0.501 [1 per cell]
Au  0.749  0.253  0.499 [1 per cell]
F  0.073  0.554  0.244 [1 per cell]
F  0.208  0.076  0.240 [1 per cell]
F  0.309  0.448  0.761 [1 per cell]
F  0.446  0.931  0.754 [1 per cell]
F  0.553  0.690  0.243 [1 per cell]
F  0.690  0.213  0.236 [1 per cell]
F  0.788  0.312  0.763 [1 per cell]
F  0.923  0.794  0.759 [1 per cell]

Computed properties:
The value obtained for the total energy is -3.858 eV/atom. For the energy above the lowest structure with this stoichiometry, the calculation gives 84 meV per atom.